Material: AcS3O12
Method: DFT, PBE
State: relaxed

Cell and atoms, written as POSCAR:
```
AcS3O12
1.0
4.791 2.766 7.834
-4.791 2.766 7.834
0.000 -5.533 7.834
Ac S O
2 6 24
Cartesian
0.000 0.000 0.000 Ac
0.000 0.000 11.751 Ac
-2.402 1.372 9.793 S
-2.389 -1.394 13.710 S
0.013 -2.766 9.793 S
-0.013 2.766 13.710 S
2.389 1.394 9.793 S
2.402 -1.372 13.710 S
-3.874 1.246 9.972 O
-3.016 -2.732 13.530 O
-0.835 -2.996 8.591 O
-1.776 0.035 9.613 O
-2.615 -0.545 12.508 O
-0.835 -2.537 10.995 O
-2.177 2.221 8.591 O
0.858 -3.978 9.972 O
-3.012 -0.774 14.912 O
-1.779 1.992 10.995 O
-0.918 -1.520 13.889 O
0.858 -1.555 9.613 O
-0.858 1.555 13.889 O
0.918 1.520 9.613 O
1.779 -1.992 12.508 O
3.012 0.774 8.591 O
-0.858 3.978 13.530 O
2.177 -2.221 14.912 O
0.835 2.537 12.508 O
2.615 0.545 10.995 O
1.776 -0.035 13.889 O
0.835 2.996 14.912 O
3.016 2.732 9.972 O
3.874 -1.246 13.530 O
```

VASP energy, eV for the cell shown: -197.0



Material: AcS6O2
Method: DFT, PBE
State: relaxed

Cell and atoms, written as POSCAR:
```
AcS6O2
1.0
6.272 -6.114 0.000
6.272 6.114 0.000
-2.817 0.000 5.553
Ac S O
2 12 4
Cartesian
4.159 4.845 4.165 Ac
5.568 -4.845 1.388 Ac
2.501 1.772 1.076 S
2.054 1.672 3.135 S
4.089 0.622 0.725 S
1.092 -1.772 3.853 S
2.680 -0.622 3.501 S
3.463 -1.672 0.359 S
6.265 1.672 5.194 S
7.047 0.622 2.052 S
8.635 1.772 1.700 S
5.639 -0.622 4.828 S
7.673 -1.672 2.417 S
7.226 -1.772 4.476 S
4.893 5.105 1.712 O
6.243 5.105 1.064 O
3.484 -5.105 4.488 O
4.835 -5.105 3.841 O
```

VASP energy, eV for the cell shown: -87.3



Material: Ac2SO6
Method: DFT, PBE
State: relaxed

Cell and atoms, written as POSCAR:
```
Ac2SO6
1.0
4.601 -2.658 0.000
4.601 2.658 0.000
-0.007 0.000 4.627
Ac S O
2 1 6
Cartesian
1.533 0.000 1.187 Ac
7.661 0.000 3.440 Ac
4.601 0.000 0.000 S
3.888 1.232 0.947 O
3.171 0.000 3.678 O
5.306 1.232 3.681 O
3.888 -1.232 0.947 O
6.023 0.000 0.949 O
5.306 -1.232 3.681 O
```

VASP energy, eV for the cell shown: -62.9



Material: Ac2SO
Method: DFT, PBE
State: relaxed

Cell and atoms, written as POSCAR:
```
Ac2SO
1.0
3.520 0.000 0.000
0.000 3.520 0.000
0.000 0.000 7.074
Ac S O
2 1 1
Cartesian
0.000 0.000 1.684 Ac
0.000 0.000 5.390 Ac
1.760 1.760 3.537 S
1.760 1.760 0.000 O
```

VASP energy, eV for the cell shown: -24.1



Material: Ac2SO
Method: DFT, PBE
State: relaxed

Cell and atoms, written as POSCAR:
```
Ac2SO
1.0
1.962 1.133 7.237
-1.962 1.133 7.237
0.000 -2.266 7.237
Ac S O
2 1 1
Cartesian
0.000 0.000 0.000 Ac
0.000 0.000 3.476 Ac
0.000 0.000 12.603 S
0.000 0.000 8.889 O
```

VASP energy, eV for the cell shown: -25.5



Material: Ac3S3O
Method: DFT, PBE
State: relaxed

Cell and atoms, written as POSCAR:
```
Ac3S3O
1.0
4.164 -6.331 0.000
4.164 6.331 0.000
-0.954 0.000 7.251
Ac S O
6 6 2
Cartesian
0.580 0.000 2.158 Ac
1.908 1.978 5.636 Ac
1.908 -1.978 5.636 Ac
5.467 1.978 1.615 Ac
5.467 -1.978 1.615 Ac
6.795 0.000 5.093 Ac
4.164 4.271 0.000 S
3.688 3.551 3.625 S
3.227 0.000 1.204 S
4.149 0.000 6.047 S
3.688 -3.551 3.625 S
4.164 -4.271 0.000 S
0.982 0.000 4.625 O
6.393 0.000 2.626 O
```

VASP energy, eV for the cell shown: -91.3



Material: AcS3O9
Method: DFT, PBE
State: relaxed

Cell and atoms, written as POSCAR:
```
AcS3O9
1.0
6.036 -4.006 0.000
6.036 4.006 0.000
-3.563 0.000 9.677
Ac S O
2 6 18
Cartesian
4.254 2.371 4.838 Ac
6.036 -2.371 0.000 Ac
-0.346 1.156 7.350 S
4.350 0.920 1.220 S
1.435 -1.156 2.511 S
2.568 -0.920 6.059 S
8.620 0.224 1.797 S
6.839 -0.224 6.636 S
-0.701 0.304 6.203 O
1.081 -0.304 1.364 O
0.977 1.020 7.874 O
6.400 2.854 3.507 O
4.262 1.233 2.713 O
3.212 0.450 5.858 O
2.758 -1.020 3.035 O
4.994 -0.450 1.020 O
7.386 1.310 1.827 O
6.173 0.892 5.971 O
2.480 -1.233 7.551 O
9.711 0.810 1.029 O
7.955 -0.892 1.132 O
5.604 -1.310 6.666 O
7.202 0.054 8.026 O
8.984 -0.054 3.187 O
7.929 -0.810 5.867 O
4.618 -2.854 8.345 O
```

VASP energy, eV for the cell shown: -165.9



Material: AcSO
Method: DFT, PBE
State: relaxed

Cell and atoms, written as POSCAR:
```
AcSO
1.0
5.311 -2.093 0.000
5.311 2.093 0.000
-2.355 0.000 6.851
Ac S O
2 2 2
Cartesian
1.415 0.000 1.851 Ac
6.852 0.000 5.000 Ac
4.566 0.000 0.749 S
3.701 0.000 6.102 S
0.780 0.000 4.138 O
7.486 0.000 2.713 O
```

VASP energy, eV for the cell shown: -40.7



Material: Ac2SO2
Method: DFT, PBE
State: relaxed

Cell and atoms, written as POSCAR:
```
Ac2SO2
1.0
4.217 0.000 0.000
-2.109 3.652 0.000
0.000 0.000 7.214
Ac S O
2 1 2
Cartesian
0.000 2.435 2.014 Ac
2.109 1.217 5.200 Ac
0.000 0.000 0.000 S
0.000 2.435 4.529 O
2.109 1.217 2.686 O
```

VASP energy, eV for the cell shown: -37.8



Material: Ac2SO6
Method: DFT, PBE
State: relaxed

Cell and atoms, written as POSCAR:
```
Ac2SO6
1.0
3.757 -6.183 0.000
3.757 6.183 0.000
-1.373 0.000 8.322
Ac S O
4 2 12
Cartesian
0.920 0.780 3.476 Ac
0.234 -0.780 7.637 Ac
5.908 0.780 0.685 Ac
5.221 -0.780 4.846 Ac
2.727 1.932 6.241 S
3.414 -1.932 2.080 S
0.729 0.493 1.119 O
1.681 2.762 5.579 O
0.043 -0.493 5.280 O
2.127 1.070 7.306 O
3.774 2.762 6.904 O
3.328 1.070 5.177 O
2.813 -1.070 3.145 O
2.367 -2.762 1.418 O
4.015 -1.070 1.016 O
6.099 0.493 3.041 O
4.461 -2.762 2.743 O
5.412 -0.493 7.202 O
```

VASP energy, eV for the cell shown: -130.8



Material: Ac3S2O2
Method: DFT, PBE
State: relaxed

Cell and atoms, written as POSCAR:
```
Ac3S2O2
1.0
6.782 -2.121 0.000
6.782 2.121 0.000
-3.613 0.000 6.233
Ac S O
3 2 2
Cartesian
0.000 0.000 0.000 Ac
0.321 0.000 4.237 Ac
9.630 0.000 1.997 Ac
4.871 0.000 0.995 S
5.080 0.000 5.239 S
1.437 0.000 2.043 O
8.514 0.000 4.190 O
```

VASP energy, eV for the cell shown: -49.1



Material: Ac2SO2
Method: DFT, PBE
State: relaxed

Cell and atoms, written as POSCAR:
```
Ac2SO2
1.0
5.122 -4.144 0.000
5.122 4.144 0.000
-4.910 0.000 5.432
Ac S O
4 2 4
Cartesian
0.835 1.137 1.240 Ac
-1.620 -1.137 3.956 Ac
6.953 1.137 1.476 Ac
4.498 -1.137 4.192 Ac
3.894 1.098 1.358 S
1.439 -1.098 4.074 S
-1.137 1.022 2.816 O
1.318 -1.022 0.100 O
4.015 1.022 5.332 O
6.470 -1.022 2.616 O
```

VASP energy, eV for the cell shown: -74.5



Number 1: calculated density 2.746 g cm⁻³, formation energy (no corrections) -1407 meV/atom. Number 2: calculated density 3.520 g cm⁻³, formation energy (no corrections) -541 meV/atom. Number 3: calculated density 8.542 g cm⁻³, formation energy (no corrections) -2310 meV/atom. Number 4: calculated density 9.512 g cm⁻³, formation energy (no corrections) -1700 meV/atom. Number 5: calculated density 8.635 g cm⁻³, formation energy (no corrections) -2044 meV/atom. Number 6: calculated density 6.889 g cm⁻³, formation energy (no corrections) -2281 meV/atom. Number 7: calculated density 3.316 g cm⁻³, formation energy (no corrections) -1681 meV/atom. Number 8: calculated density 5.999 g cm⁻³, formation energy (no corrections) -2385 meV/atom. Number 9: calculated density 7.742 g cm⁻³, formation energy (no corrections) -3108 meV/atom. Number 10: calculated density 5.000 g cm⁻³, formation energy (no corrections) -2590 meV/atom. Number 11: calculated density 7.194 g cm⁻³, formation energy (no corrections) -2658 meV/atom. Number 12: calculated density 7.462 g cm⁻³, formation energy (no corrections) -3002 meV/atom.